# 1
CsSnBr3 | PBE | optimized geometry

Geometry as POSCAR:
```
CsSnBr3
1.0
-1.410 0.105 17.732
-5.559 -5.735 6.936
3.517 -7.087 -7.022
Cs Sn Br
4 4 12
Cartesian
0.386 -5.441 9.775
-3.838 -7.276 7.871
-3.980 -3.688 16.761
0.528 -9.029 0.885
-2.028 -5.150 3.820
-4.907 -4.747 11.954
-1.424 -7.567 13.826
1.454 -7.970 5.692
-1.270 -4.918 6.595
-2.033 -11.340 2.161
-2.183 -7.799 11.051
-1.419 -1.377 15.485
-1.221 -2.861 2.457
-1.450 -9.425 6.327
-2.232 -9.856 15.190
-2.003 -3.292 11.320
0.488 -6.228 3.174
1.441 -6.349 -1.367
-3.940 -6.489 14.472
-4.893 -6.368 19.013
```

## Properties
DOS at the Fermi energy: 0.00 states/eV per cell
Uncorrected energy: -3.147 eV/atom
Raw formation energy: -1.172 eV/atom
Total magnetic moment: 0.00 μB/atom

***

# 2
CsSnBr3 | PBE | optimized geometry

Geometry as POSCAR:
```
CsSnBr3
1.0
25.968 0.000 1.697
0.000 8.097 0.000
-8.629 0.000 3.633
Cs Sn Br
4 4 12
Cartesian
-2.792 1.748 3.378
20.131 6.349 1.952
2.833 5.796 2.920
14.507 2.301 2.410
7.876 6.271 2.769
9.464 1.827 2.560
-7.835 2.222 3.528
25.174 5.875 1.801
-0.737 6.582 3.708
18.076 1.515 1.621
0.778 2.533 2.589
16.562 5.564 2.740
6.307 4.051 2.728
11.032 4.046 2.601
-6.266 0.002 3.569
23.605 8.095 1.760
5.822 8.023 3.049
11.518 0.074 2.280
-5.781 3.974 3.248
23.120 4.123 2.081
```

## Properties
DOS at the Fermi energy: 0.00 states/eV per cell
Uncorrected energy: -3.184 eV/atom
Raw formation energy: -1.209 eV/atom
Total magnetic moment: 0.00 μB/atom

***

# 3
CsSn3Br | PBE | optimized geometry

Geometry as POSCAR:
```
CsSn3Br
1.0
-6.290 -1.011 0.214
-0.062 -0.946 -6.304
1.032 -6.223 0.924
Cs Sn Br
1 3 1
Cartesian
0.000 0.000 0.000
-0.031 -0.473 -3.152
0.516 -3.111 0.462
-3.145 -0.506 0.107
-2.661 -4.090 -2.583
```

## Properties
DOS at the Fermi energy: 10.16 states/eV per cell
Uncorrected energy: -1.663 eV/atom
Offset from the most stable computed form: 931 meV/atom
Raw formation energy: 1.244 eV/atom
Total magnetic moment: 0.00 μB/atom

***

# 4
Cs12Sn3Br5 | PBE | optimized geometry

Geometry as POSCAR:
```
Cs12Sn3Br5
1.0
-3.250 -18.537 3.260
5.718 2.380 -18.067
13.600 6.261 11.859
Cs Sn Br
48 12 20
Cartesian
-0.935 -12.698 0.470
7.666 -2.207 -3.911
2.830 -15.038 -0.158
1.293 -8.772 -0.566
11.339 -4.911 -3.105
2.592 -15.204 -5.474
9.064 -1.623 -8.125
6.777 1.396 -14.677
12.674 -4.418 -7.350
3.337 -10.845 -6.176
5.029 -11.127 -1.305
3.156 -12.896 -13.233
11.101 2.645 -6.053
2.309 -5.277 -5.264
9.922 2.908 -11.872
7.405 -3.716 5.903
3.671 0.218 -0.240
3.556 -6.261 -9.614
6.382 -11.412 -10.506
3.135 -0.946 -6.043
14.899 0.382 -6.760
7.375 -6.777 -4.605
9.204 -11.520 -5.515
11.796 -7.980 7.478
8.693 -3.118 1.657
6.864 1.624 2.566
4.272 -1.916 -10.427
9.686 1.516 7.557
1.168 -10.278 3.812
12.933 -8.950 3.094
12.511 -3.635 6.666
8.663 -6.180 -8.852
12.396 -10.113 -2.708
6.146 -12.804 8.923
4.967 -12.541 3.105
12.912 3.000 10.285
13.758 -4.619 2.315
3.393 -5.477 4.401
12.731 0.949 3.227
11.039 1.231 -1.644
9.291 -11.292 11.729
7.004 -8.272 5.176
14.775 -1.124 -2.382
13.475 5.308 2.526
4.729 -4.985 0.156
13.238 5.143 -2.790
8.402 -7.688 0.963
17.003 2.802 -3.418
1.407 -12.227 -2.848
3.145 -13.652 -9.216
11.570 -1.253 -4.916
5.002 -1.989 3.004
1.271 -14.357 3.559
5.755 -3.899 -7.105
10.313 -5.997 4.156
14.797 4.461 -6.507
11.066 -7.907 -5.952
4.498 -8.643 1.968
12.923 3.756 6.267
14.661 2.332 -0.101
5.138 0.141 -3.403
2.859 1.190 -9.034
0.000 0.000 0.000
1.911 -5.574 -1.812
5.175 -6.138 7.559
1.234 -8.078 -7.404
8.982 1.816 -8.696
10.177 -8.127 10.563
6.236 -10.067 -4.400
9.696 -1.958 7.858
6.372 -7.938 -10.807
8.034 -4.948 -1.474
-1.625 -9.268 1.630
6.800 3.130 5.930
9.832 0.171 1.452
5.891 -1.769 -13.512
9.659 4.320 -3.104
7.086 -11.711 5.747
14.157 -4.322 -1.136
10.930 -10.036 0.455
```

## Properties
DOS at the Fermi energy: 42.92 states/eV per cell
Uncorrected energy: -2.361 eV/atom
Raw formation energy: -0.830 eV/atom
Total magnetic moment: 0.25 μB/atom

***

# 5
CsSn2Br6 | PBE | optimized geometry

Geometry as POSCAR:
```
CsSn2Br6
1.0
5.274 0.000 1.691
2.191 6.821 2.235
-0.573 -0.077 10.855
Cs Sn Br
1 2 6
Cartesian
0.809 3.372 6.545
2.149 5.278 11.436
4.743 1.466 3.345
4.696 4.778 12.560
2.196 1.966 2.221
6.988 5.638 5.414
2.967 5.231 8.885
-0.096 1.106 9.367
3.925 1.513 5.896
```

## Properties
DOS at the Fermi energy: 1.76 states/eV per cell
Uncorrected energy: -3.051 eV/atom
Offset from the most stable computed form: 0 meV/atom
Raw formation energy: -0.951 eV/atom
Total magnetic moment: 0.00 μB/atom

***

# 6
CsSnBr2 | PBE | optimized geometry

Geometry as POSCAR:
```
CsSnBr2
1.0
2.566 0.000 10.535
-1.283 2.222 10.535
-1.283 -2.222 10.535
Cs Sn Br
1 1 2
Cartesian
0.000 0.000 15.803
0.000 0.000 0.000
0.000 0.000 28.754
0.000 0.000 2.853
```

## Properties
DOS at the Fermi energy: 1.19 states/eV per cell
Uncorrected energy: -2.879 eV/atom
Offset from the most stable computed form: 0 meV/atom
Raw formation energy: -0.828 eV/atom
Total magnetic moment: 0.00 μB/atom

***

# 7
CsSnBr | PBE | optimized geometry

Geometry as POSCAR:
```
CsSnBr
1.0
4.914 0.000 0.000
-2.457 6.227 -0.469
0.000 -3.288 9.230
Br Cs Sn
2 2 2
Cartesian
0.000 2.706 2.676
2.457 0.232 6.084
2.457 0.077 2.394
0.000 2.862 6.367
2.457 3.979 -0.289
0.000 -1.041 9.050
```

## Properties
DOS at the Fermi energy: 1.21 states/eV per cell
Uncorrected energy: -3.021 eV/atom
Raw formation energy: -0.844 eV/atom
Total magnetic moment: 0.00 μB/atom

***

# 8
CsSnBr3 | PBE | optimized geometry

Geometry as POSCAR:
```
CsSnBr3
1.0
7.516 -6.047 -5.069
0.086 -10.816 1.318
-2.899 -6.516 -8.239
Cs Sn Br
4 4 12
Cartesian
2.939 -14.612 -7.494
2.896 -9.204 -8.152
-0.819 -11.588 -4.959
4.388 -11.354 -3.374
0.588 -2.922 -1.499
0.631 -8.331 -0.840
4.346 -5.946 -4.033
-0.862 -6.180 -5.618
5.365 -8.396 -5.454
-0.975 -8.194 -3.383
3.361 -7.999 -2.063
3.326 -3.496 -2.612
0.232 -5.481 0.047
3.673 -12.199 -10.263
2.119 -6.208 -6.042
-1.010 -3.691 -3.932
1.029 -11.180 -1.727
-0.663 -14.983 -6.535
-0.713 -8.670 -7.305
5.415 -14.709 -4.685
```

## Properties
DOS at the Fermi energy: 0.00 states/eV per cell
Uncorrected energy: -3.125 eV/atom
Raw formation energy: -1.150 eV/atom
Total magnetic moment: 0.00 μB/atom